# 1
Below is a geometry-optimized Nd2CdNi4Ge3 structure, with properties calculated at the GGA-PBE level.

Its crystal system is tetragonal. The value obtained for the calculated formation energy is -0.55 eV/atom. The value obtained for the total moment is 0.000 μB per cell. Its total energy is -5.297 eV per atom.

```
data_Nd2CdNi4Ge3
_cell_length_a 4.199
_cell_length_b 4.199
_cell_length_c 9.973
_cell_angle_alpha 90.00
_cell_angle_beta 90.00
_cell_angle_gamma 90.00
_space_group_name_H-M_alt 'P -4 m 2'
_space_group_IT_number 115
loop_
_space_group_symop_operation_xyz
'x,y,z'
'y,-x,-z'
'-x,-y,z'
'-y,x,-z'
'-x,y,z'
'-y,-x,-z'
'x,-y,z'
'y,x,-z'
loop_
_atom_site_label
_atom_site_type_symbol
_atom_site_fract_x
_atom_site_fract_y
_atom_site_fract_z
_atom_site_occupancy
Nd1 Nd 0.000 0.500 0.240 1
Cd1 Cd 0.000 0.000 0.500 1
Ni1 Ni 0.000 0.000 0.000 1
Ni2 Ni 0.000 0.500 0.644 1
Ni3 Ni 0.500 0.500 0.000 1
Ge1 Ge 0.000 0.500 0.879 1
Ge2 Ge 0.500 0.500 0.500 1
```



# 2
Below is a geometry-optimized Nd2CdGeO6 structure, with properties calculated at the GGA-PBE level.

Its crystal system is tetragonal. As for the uncorrected formation energy: -2.299 eV/atom. The value obtained for the total moment is 0.000 μB per cell. Its total energy is -6.781 eV per atom.

```
data_Nd2CdGeO6
_cell_length_a 5.400
_cell_length_b 5.400
_cell_length_c 5.067
_cell_angle_alpha 90.00
_cell_angle_beta 90.00
_cell_angle_gamma 90.00
_space_group_name_H-M_alt 'P 4 m m'
_space_group_IT_number 99
loop_
_space_group_symop_operation_xyz
'x,y,z'
'-y,x,z'
'-x,-y,z'
'y,-x,z'
'-x,y,z'
'y,x,z'
'x,-y,z'
'-y,-x,z'
loop_
_atom_site_label
_atom_site_type_symbol
_atom_site_fract_x
_atom_site_fract_y
_atom_site_fract_z
_atom_site_occupancy
Nd1 Nd 0.000 0.500 0.000 1
Cd1 Cd 0.000 0.000 0.540 1
Ge1 Ge 0.500 0.500 0.598 1
O1 O 0.000 0.000 0.119 1
O2 O 0.270 0.270 0.726 1
O3 O 0.500 0.500 0.242 1
```



# 3
Below is a geometry-optimized Nd2CdGe3Pd4 structure, with properties calculated at the GGA-PBE level.

Its crystal system is tetragonal. The value obtained for the calculated formation energy is -0.74 eV/atom. The value obtained for the total moment is 0.000 μB per cell. Its total energy is -5.246 eV per atom.

```
data_Nd2CdGe3Pd4
_cell_length_a 4.347
_cell_length_b 4.347
_cell_length_c 10.573
_cell_angle_alpha 90.00
_cell_angle_beta 90.00
_cell_angle_gamma 90.00
_space_group_name_H-M_alt 'P -4 m 2'
_space_group_IT_number 115
loop_
_space_group_symop_operation_xyz
'x,y,z'
'y,-x,-z'
'-x,-y,z'
'-y,x,-z'
'-x,y,z'
'-y,-x,-z'
'x,-y,z'
'y,x,-z'
loop_
_atom_site_label
_atom_site_type_symbol
_atom_site_fract_x
_atom_site_fract_y
_atom_site_fract_z
_atom_site_occupancy
Nd1 Nd 0.000 0.500 0.243 1
Cd1 Cd 0.000 0.000 0.500 1
Ge1 Ge 0.000 0.500 0.876 1
Ge2 Ge 0.500 0.500 0.500 1
Pd1 Pd 0.000 0.000 0.000 1
Pd2 Pd 0.000 0.500 0.646 1
Pd3 Pd 0.500 0.500 0.000 1
```



# 4
Below is a geometry-optimized NdCdGe2Pd5 structure, with properties calculated at the GGA-PBE level.

Its crystal system is tetragonal. The value obtained for the calculated formation energy is -0.52 eV/atom. The value obtained for the total moment is 0.000 μB per cell. Its total energy is -5.058 eV per atom.

```
data_NdCdGe2Pd5
_cell_length_a 4.331
_cell_length_b 4.331
_cell_length_c 8.853
_cell_angle_alpha 90.00
_cell_angle_beta 90.00
_cell_angle_gamma 90.00
_space_group_name_H-M_alt 'P 4/m m m'
_space_group_IT_number 123
_space_group_name_Hall '-P 4 2'
loop_
_atom_site_label
_atom_site_type_symbol
_atom_site_fract_x
_atom_site_fract_y
_atom_site_fract_z
_atom_site_occupancy
Nd1 Nd 0.000 0.000 0.000 1
Cd1 Cd 0.000 0.000 0.500 1
Ge1 Ge 0.500 0.500 0.364 1
Pd1 Pd 0.000 0.500 0.234 1
Pd2 Pd 0.500 0.500 0.000 1
```



# 5
Below is a geometry-optimized NdCdGePd structure, with properties calculated at the GGA-PBE level.

Its crystal system is cubic. The value obtained for the calculated formation energy is -0.51 eV/atom. The value obtained for the total moment is 0.000 μB per cell. Its total energy is -4.381 eV per atom.

```
data_NdCdGePd
_cell_length_a 6.986
_cell_length_b 6.986
_cell_length_c 6.986
_cell_angle_alpha 90.00
_cell_angle_beta 90.00
_cell_angle_gamma 90.00
_space_group_name_H-M_alt 'F -4 3 m'
_space_group_IT_number 216
_space_group_name_Hall 'F -4 2 3'
loop_
_atom_site_label
_atom_site_type_symbol
_atom_site_fract_x
_atom_site_fract_y
_atom_site_fract_z
_atom_site_occupancy
Nd1 Nd 0.000 0.000 0.000 1
Cd1 Cd 0.000 0.000 0.500 1
Ge1 Ge 0.250 0.250 0.750 1
Pd1 Pd 0.250 0.250 0.250 1
```



# 6
Below is a geometry-optimized PmNdCdGe structure, with properties calculated at the GGA-PBE level.

Its crystal system is cubic. The value obtained for the calculated formation energy is -0.49 eV/atom. The value obtained for the total moment is 0.000 μB per cell. Its total energy is -4.251 eV per atom.

```
data_PmNdCdGe
_cell_length_a 7.478
_cell_length_b 7.478
_cell_length_c 7.478
_cell_angle_alpha 90.00
_cell_angle_beta 90.00
_cell_angle_gamma 90.00
_space_group_name_H-M_alt 'F -4 3 m'
_space_group_IT_number 216
_space_group_name_Hall 'F -4 2 3'
loop_
_atom_site_label
_atom_site_type_symbol
_atom_site_fract_x
_atom_site_fract_y
_atom_site_fract_z
_atom_site_occupancy
Pm1 Pm 0.000 0.000 0.000 1
Nd1 Nd 0.000 0.000 0.500 1
Cd1 Cd 0.250 0.250 0.750 1
Ge1 Ge 0.250 0.250 0.250 1
```